Run P
CsRb2LiF | PBE | relaxed

```
data_CsRb2LiF
_cell_length_a 8.101
_cell_length_b 8.101
_cell_length_c 5.154
_cell_angle_alpha 90.00
_cell_angle_beta 90.00
_cell_angle_gamma 90.00
_symmetry_space_group_name_H-M 'P 1'
_symmetry_Int_Tables_number 1
loop_
_symmetry_equiv_pos_as_xyz
'x,y,z'
loop_
_atom_site_label
_atom_site_type_symbol
_atom_site_fract_x
_atom_site_fract_y
_atom_site_fract_z
Cs1 Cs 0.000 0.000 0.000
Rb1 Rb 0.000 0.500 0.000
Rb2 Rb 0.500 0.000 0.000
Li1 Li 0.500 0.500 0.500
F1 F 0.000 0.000 0.500
```

Properties
symmetry: No. 123
total magnetization: 0.000 μB per formula unit
crystal system: tetragonal

Run Q
CsRb2LiF | PBE | relaxed

```
data_CsRb2LiF
_cell_length_a 5.999
_cell_length_b 5.999
_cell_length_c 6.289
_cell_angle_alpha 90.00
_cell_angle_beta 90.00
_cell_angle_gamma 90.00
_symmetry_space_group_name_H-M 'P 1'
_symmetry_Int_Tables_number 1
loop_
_symmetry_equiv_pos_as_xyz
'x,y,z'
loop_
_atom_site_label
_atom_site_type_symbol
_atom_site_fract_x
_atom_site_fract_y
_atom_site_fract_z
Cs1 Cs 0.000 0.000 0.000
Rb1 Rb 0.000 0.500 0.500
Rb2 Rb 0.500 0.000 0.500
Li1 Li 0.500 0.500 0.000
F1 F 0.000 0.000 0.500
```

Properties
symmetry: No. 123
total magnetization: 0.000 μB per formula unit
crystal system: tetragonal

Which one is most stable, and which one is least stable? run Q is the most stable of them, while run P is the least stable.

Run P
Cs2LiScF6 | PBE | relaxed

```
data_Cs2LiScF6
_cell_length_a 6.471
_cell_length_b 8.036
_cell_length_c 6.900
_cell_angle_alpha 90.00
_cell_angle_beta 90.00
_cell_angle_gamma 90.00
_symmetry_space_group_name_H-M 'P 1'
_symmetry_Int_Tables_number 1
loop_
_symmetry_equiv_pos_as_xyz
'x,y,z'
loop_
_atom_site_label
_atom_site_type_symbol
_atom_site_fract_x
_atom_site_fract_y
_atom_site_fract_z
Cs1 Cs 0.250 0.010 0.217
Cs2 Cs 0.250 0.490 0.217
Cs3 Cs 0.750 0.510 0.783
Cs4 Cs 0.750 0.990 0.783
Li1 Li 0.250 0.750 0.633
Li2 Li 0.750 0.250 0.367
Sc1 Sc 0.250 0.250 0.716
Sc2 Sc 0.750 0.750 0.284
F1 F 0.014 0.250 0.512
F2 F 0.037 0.250 0.929
F3 F 0.250 0.508 0.711
F4 F 0.250 0.992 0.711
F5 F 0.463 0.250 0.929
F6 F 0.486 0.250 0.512
F7 F 0.514 0.750 0.488
F8 F 0.537 0.750 0.071
F9 F 0.750 0.008 0.289
F10 F 0.750 0.492 0.289
F11 F 0.963 0.750 0.071
F12 F 0.986 0.750 0.488
```

Properties
symmetry: No. 59
total magnetization: 0.000 μB per formula unit
crystal system: orthorhombic

Run Q
Cs2LiScF6 | PBE | relaxed

```
data_Cs2LiScF6
_cell_length_a 6.211
_cell_length_b 6.211
_cell_length_c 6.211
_cell_angle_alpha 120.54
_cell_angle_beta 120.54
_cell_angle_gamma 89.07
_symmetry_space_group_name_H-M 'P 1'
_symmetry_Int_Tables_number 1
loop_
_symmetry_equiv_pos_as_xyz
'x,y,z'
loop_
_atom_site_label
_atom_site_type_symbol
_atom_site_fract_x
_atom_site_fract_y
_atom_site_fract_z
Cs1 Cs 0.250 0.750 0.500
Cs2 Cs 0.750 0.250 0.500
Li1 Li 0.000 0.000 0.000
Sc1 Sc 0.500 0.500 0.000
F1 F 0.263 0.263 0.526
F2 F 0.263 0.737 0.000
F3 F 0.267 0.267 0.000
F4 F 0.733 0.733 0.000
F5 F 0.737 0.263 0.000
F6 F 0.737 0.737 0.474
```

Properties
symmetry: No. 139
total magnetization: 0.000 μB per formula unit
crystal system: tetragonal

Which one is most stable, and which one is least stable? run P is the most stable of them, while run Q is the least stable.

Run P
CsMgF2 | PBE | relaxed

```
data_CsMgF2
_cell_length_a 4.899
_cell_length_b 4.899
_cell_length_c 4.899
_cell_angle_alpha 60.00
_cell_angle_beta 60.00
_cell_angle_gamma 60.00
_symmetry_space_group_name_H-M 'P 1'
_symmetry_Int_Tables_number 1
loop_
_symmetry_equiv_pos_as_xyz
'x,y,z'
loop_
_atom_site_label
_atom_site_type_symbol
_atom_site_fract_x
_atom_site_fract_y
_atom_site_fract_z
Cs1 Cs 0.000 0.000 0.000
Mg1 Mg 0.500 0.500 0.500
F1 F 0.250 0.250 0.250
F2 F 0.750 0.750 0.750
```

Properties
symmetry: No. 225
total magnetization: 0.909 μB per formula unit
crystal system: cubic

Run Q
CsMgF2 | PBE | relaxed

```
data_CsMgF2
_cell_length_a 7.649
_cell_length_b 7.649
_cell_length_c 7.649
_cell_angle_alpha 31.97
_cell_angle_beta 31.97
_cell_angle_gamma 31.97
_symmetry_space_group_name_H-M 'P 1'
_symmetry_Int_Tables_number 1
loop_
_symmetry_equiv_pos_as_xyz
'x,y,z'
loop_
_atom_site_label
_atom_site_type_symbol
_atom_site_fract_x
_atom_site_fract_y
_atom_site_fract_z
Cs1 Cs 0.000 0.000 0.000
Mg1 Mg 0.500 0.500 0.500
F1 F 0.414 0.414 0.414
F2 F 0.586 0.586 0.586
```

Properties
symmetry: No. 166
total magnetization: 0.000 μB per formula unit
crystal system: trigonal

Which one is most stable, and which one is least stable? run Q is the most stable of them, while run P is the least stable.

Run P
Cs3Mg2F7 | PBE | relaxed

```
data_Cs3Mg2F7
_cell_length_a 12.498
_cell_length_b 12.498
_cell_length_c 4.204
_cell_angle_alpha 90.00
_cell_angle_beta 90.00
_cell_angle_gamma 160.43
_symmetry_space_group_name_H-M 'P 1'
_symmetry_Int_Tables_number 1
loop_
_symmetry_equiv_pos_as_xyz
'x,y,z'
loop_
_atom_site_label
_atom_site_type_symbol
_atom_site_fract_x
_atom_site_fract_y
_atom_site_fract_z
Cs1 Cs 0.000 0.000 0.000
Cs2 Cs 0.177 0.823 0.000
Cs3 Cs 0.823 0.177 0.000
Mg1 Mg 0.414 0.586 0.500
Mg2 Mg 0.586 0.414 0.500
F1 F 0.088 0.912 0.500
F2 F 0.333 0.667 0.500
F3 F 0.413 0.587 0.000
F4 F 0.500 0.500 0.500
F5 F 0.587 0.413 0.000
F6 F 0.667 0.333 0.500
F7 F 0.912 0.088 0.500
```

Properties
symmetry: No. 65
total magnetization: 0.159 μB per formula unit
crystal system: orthorhombic

Run Q
Cs3Mg2F7 | PBE | relaxed

```
data_Cs3Mg2F7
_cell_length_a 12.090
_cell_length_b 12.090
_cell_length_c 12.090
_cell_angle_alpha 159.75
_cell_angle_beta 159.75
_cell_angle_gamma 28.79
_symmetry_space_group_name_H-M 'P 1'
_symmetry_Int_Tables_number 1
loop_
_symmetry_equiv_pos_as_xyz
'x,y,z'
loop_
_atom_site_label
_atom_site_type_symbol
_atom_site_fract_x
_atom_site_fract_y
_atom_site_fract_z
Cs1 Cs 0.000 0.000 0.000
Cs2 Cs 0.185 0.185 0.000
Cs3 Cs 0.815 0.815 0.000
Mg1 Mg 0.410 0.410 0.000
Mg2 Mg 0.590 0.590 0.000
F1 F 0.091 0.591 0.500
F2 F 0.324 0.324 0.000
F3 F 0.409 0.909 0.500
F4 F 0.500 0.500 0.000
F5 F 0.591 0.091 0.500
F6 F 0.676 0.676 0.000
F7 F 0.909 0.409 0.500
```

Properties
symmetry: No. 139
total magnetization: 0.026 μB per formula unit
crystal system: tetragonal

Which one is most stable, and which one is least stable? run Q is the most stable of them, while run P is the least stable.